No. 1
## MgSb2O4 (PBEsol)

Data for a geometry-optimized MgSb2O4 structure.

a b c (Å): 8.424 8.424 5.994
angles (deg): 90.00 90.00 90.00
Element x y z (fractional)
1 Mg 0.000 0.500 0.250
2 Mg 0.000 0.500 0.750
3 Mg 0.500 0.000 0.250
4 Mg 0.500 0.000 0.750
5 Sb 0.165 0.173 0.000
6 Sb 0.173 0.835 0.500
7 Sb 0.327 0.335 0.500
8 Sb 0.335 0.673 0.000
9 Sb 0.665 0.327 0.000
10 Sb 0.673 0.665 0.500
11 Sb 0.827 0.165 0.500
12 Sb 0.835 0.827 0.000
13 O 0.097 0.361 0.500
14 O 0.139 0.403 0.000
15 O 0.176 0.676 0.250
16 O 0.176 0.676 0.750
17 O 0.324 0.176 0.250
18 O 0.324 0.176 0.750
19 O 0.361 0.903 0.000
20 O 0.403 0.861 0.500
21 O 0.597 0.139 0.500
22 O 0.639 0.097 0.000
23 O 0.676 0.824 0.250
24 O 0.676 0.824 0.750
25 O 0.824 0.324 0.250
26 O 0.824 0.324 0.750
27 O 0.861 0.597 0.000
28 O 0.903 0.639 0.500

Calculated values
- energy relative to the elements, uncorrected (meV per atom) = -1770
- total DFT energy (no corrections) (eV/atom) = -6.317
- crystal system = tetragonal
- total magnetic moment (μB/atom) = 0.000

***

No. 2
## MgTc2SbO (PBEsol)

Data for a geometry-optimized MgTc2SbO structure.

a b c (Å): 4.914 4.914 5.278
angles (deg): 90.00 90.00 90.00
Element x y z (fractional)
1 Mg 0.000 0.000 0.000
2 Tc 0.000 0.500 0.500
3 Tc 0.500 0.000 0.500
4 Sb 0.000 0.000 0.500
5 O 0.500 0.500 0.000

Calculated values
- energy relative to the elements, uncorrected (meV per atom) = 1986
- total DFT energy (no corrections) (eV/atom) = -4.825
- crystal system = tetragonal
- total magnetic moment (μB/atom) = 1.163

***

Among the records above, which one has the highest total DFT energy (no corrections)? MgTc2SbO

***

Which of these has the lowest energy relative to the elements, uncorrected? MgSb2O4

***

Which of these has the lowest total DFT energy (no corrections)? MgSb2O4